[1]
A plane-wave DFT calculation with PBE was carried out for crystalline HfSb2TeN at its relaxed geometry.

The relative energy among the computed polymorphs is 0.691 eV per atom. The formation energy without anion corrections comes out at 1.110 eV per atom.

It has space group P4/mmm (No. 123), with a = 5.535 Å, b = 5.535 Å, c = 5.532 Å, α = 90.00°, β = 90.00° and γ = 90.00°. The asymmetric unit holds Hf at (0.000, 0.000, 0.000), Sb at (0.000, 0.500, 0.000), Te at (0.000, 0.000, 0.500) and N at (0.500, 0.500, 0.500).

[2]
A plane-wave DFT calculation with PBE was carried out for crystalline Ga4PdRu2 at its relaxed geometry.

The value obtained for the formation energy is -386 meV per atom.

It has space group I4/mmm (No. 139), with a = 6.055 Å, b = 6.055 Å, c = 5.972 Å, α = 90.00°, β = 90.00° and γ = 90.00°. The asymmetric unit holds Ga at (0.250, 0.250, 0.250), Pd at (0.000, 0.000, 0.000) and Ru at (0.000, 0.500, 0.000).

[3]
A plane-wave DFT calculation with PBE was carried out for crystalline Th2Al4Cu3Pd at its relaxed geometry.

The value obtained for the formation energy is -511 meV per atom.

It has space group P-4m2 (No. 115), with a = 4.284 Å, b = 4.284 Å, c = 10.076 Å, α = 90.00°, β = 90.00° and γ = 90.00°. The asymmetric unit holds Th at (0.000, 0.500, 0.246), Al at (0.000, 0.000, 0.500), Al at (0.000, 0.500, 0.870), Al at (0.500, 0.500, 0.500), Cu at (0.000, 0.000, 0.000), Cu at (0.000, 0.500, 0.629) and Pd at (0.500, 0.500, 0.000).

[4]
A plane-wave DFT calculation with PBE was carried out for crystalline Tb2Ga5Ni3 at its relaxed geometry.

The relative energy among the computed polymorphs is 0.045 eV per atom. The value obtained for the formation energy is -570 meV per atom.

It has space group Cmc2_1 (No. 36), with a = 4.192 Å, b = 24.213 Å, c = 6.580 Å, α = 90.00°, β = 90.00° and γ = 90.00°. The asymmetric unit holds Tb at (0.000, 0.019, 0.000), Tb at (0.000, 0.326, 0.963), Ga at (0.000, 0.100, 0.650), Ga at (0.000, 0.206, 0.155), Ga at (0.000, 0.211, 0.755), Ga at (0.000, 0.375, 0.489), Ga at (0.000, 0.447, 0.820), Ni at (0.000, 0.107, 0.264), Ni at (0.000, 0.273, 0.453) and Ni at (0.000, 0.449, 0.214).

Volume? In order: 169.5, 219.0, 184.9, 667.8 Å³/cell.
Total magnetic moment? In order: 0.51, 0.00, 0.00, 0.00 μB/atom.
Electronic total energy? In order: -4.823, -5.508, -5.241, -4.744 eV/atom.